VASP calculation (PBE-GGA) on crystalline Ca3Ag2Bi3 at its relaxed geometry.

Unit cell a=6.4921 b=6.4921 c=16.2993 alpha=90.00 beta=90.00 gamma=137.34
Last column: nearest neighbours and their distance in Å.
Atoms (fractional coordinates):
Ca 0.0767 0.9233 0.6038  2 Ag 3.28, 6 Bi 3.39-3.52
Ca 0.0767 0.9233 0.8962  2 Ag 3.28, 6 Bi 3.39-3.52
Ca 0.3317 0.6683 0.7500  5 Bi 3.33-3.52, 4 Ag 3.39
Ca 0.6683 0.3317 0.2500  5 Bi 3.33-3.52, 4 Ag 3.39
Ca 0.9233 0.0767 0.1038  2 Ag 3.28, 6 Bi 3.39-3.52
Ca 0.9233 0.0767 0.3962  2 Ag 3.28, 6 Bi 3.39-3.52
Ag 0.2357 0.7643 0.1098  4 Bi 2.89-3.08
Ag 0.2357 0.7643 0.3902  4 Bi 2.89-3.08
Ag 0.7643 0.2357 0.6098  4 Bi 2.89-3.08
Ag 0.7643 0.2357 0.8902  4 Bi 2.89-3.08
Bi 0.3746 0.6254 0.5485  3 Ag 2.89-3.08
Bi 0.3746 0.6254 0.9515  3 Ag 2.89-3.08
Bi 0.3846 0.6154 0.2500  2 Ag 2.91
Bi 0.6154 0.3846 0.7500  2 Ag 2.91
Bi 0.6254 0.3746 0.0485  3 Ag 2.89-3.08
Bi 0.6254 0.3746 0.4515  3 Ag 2.89-3.08

Computed properties:
Magnetization, μB/f.u.: 0.0
Calculated volume, Å³/cell: 465.5
Energy of formation, eV per atom: -0.5455